Compound: PrDy3Hg6
Source: the Alexandria database
Functional: GGA-PBE
Structure: optimized geometry

```
data_PrDy3Hg6
_chemical_formula_sum 'Pr2 Dy6 Hg12'
_cell_length_a 9.231
_cell_length_b 5.206
_cell_length_c 11.269
_cell_angle_alpha 90.00
_cell_angle_beta 107.27
_cell_angle_gamma 90.00
_space_group_name_H-M_alt 'P 1'
_space_group_IT_number 1
loop_
_space_group_symop_operation_xyz
'x,y,z'
loop_
_atom_site_label
_atom_site_fract_x
_atom_site_fract_y
_atom_site_fract_z
Pr1 0.067 0.250 0.384
Pr2 0.933 0.750 0.616
Dy1 0.230 0.250 0.003
Dy2 0.353 0.750 0.806
Dy3 0.489 0.250 0.613
Dy4 0.511 0.750 0.387
Dy5 0.647 0.250 0.194
Dy6 0.770 0.750 0.997
Hg1 0.063 0.750 0.909
Hg2 0.142 0.750 0.206
Hg3 0.175 0.250 0.692
Hg4 0.256 0.750 0.522
Hg5 0.359 0.250 0.290
Hg6 0.464 0.750 0.093
Hg7 0.536 0.250 0.907
Hg8 0.641 0.750 0.710
Hg9 0.744 0.250 0.478
Hg10 0.825 0.750 0.308
Hg11 0.858 0.250 0.794
Hg12 0.937 0.250 0.091
```

## Properties
energy relative to the elements	-0.434	eV per atom
VASP energy	-2.47	eV/atom